Entry from Alexandria: a relaxed AcWO4 crystal (PBE+U).

Properties
theoretical density	7355	kg/m³
total DFT energy (no corrections)	-7.720	eV per atom
energy relative to the lowest polymorph listed for this composition	160.7	meV/atom

Lattice parameters (Å, degrees): 6.359 8.623 9.842 90.00 127.38 90.00
Space group P2_1/c (No. 14)
Inequivalent atoms, fractional coordinates:
Ac  0.095  0.042  0.339 [4 per cell]
W  0.422  0.684  0.666 [4 per cell]
O  0.207  0.635  0.099 [4 per cell]
O  0.225  0.564  0.472 [4 per cell]
O  0.229  0.199  0.766 [4 per cell]
O  0.449  0.627  0.865 [4 per cell]